First-principles (PBE) data for a relaxed structure of SrTaAg, as listed in Alexandria via LeMat-Bulk.

Unit cell a=5.163 b=5.163 c=3.096 alpha=90.00 beta=90.00 gamma=120.00
Atoms (fractional coordinates):
Sr1 0.000 0.000 0.000
Ta1 0.667 0.333 0.500
Ag1 0.333 0.667 0.500

Output
excess energy over the best structure of this formula in the dataset: 656 meV/atom
ΔH_f (0 K): 0.886 eV/atom


First-principles (PBE) data for a relaxed structure of MgIn3, as listed in Alexandria via LeMat-Bulk.

Unit cell a=3.409 b=4.571 c=6.524 alpha=90.00 beta=90.00 gamma=90.00
Atoms (fractional coordinates):
Mg1 0.000 0.000 0.000
In1 0.000 0.000 0.500
In2 0.500 0.500 0.244
In3 0.500 0.500 0.756

Output
ΔH_f (0 K): -0.032 eV/atom


First-principles (PBE) data for a relaxed structure of Mg2CoOs, as listed in Alexandria via LeMat-Bulk.

Unit cell a=2.710 b=2.710 c=8.174 alpha=90.00 beta=90.00 gamma=90.00
Atoms (fractional coordinates):
Mg1 0.000 0.000 0.240
Mg2 0.000 0.000 0.760
Co1 0.500 0.500 0.000
Os1 0.500 0.500 0.500

Output
excess energy over the best structure of this formula in the dataset: 195 meV/atom
ΔH_f (0 K): 0.298 eV/atom


First-principles (PBE) data for a relaxed structure of MnFe2Ir2, as listed in Alexandria via LeMat-Bulk.

Unit cell a=7.099 b=7.099 c=2.686 alpha=90.00 beta=90.00 gamma=90.00
Atoms (fractional coordinates):
Mn1 0.000 0.000 0.000
Mn2 0.500 0.500 0.000
Fe1 0.166 0.334 0.500
Fe2 0.334 0.834 0.500
Fe3 0.666 0.166 0.500
Fe4 0.834 0.666 0.500
Ir1 0.133 0.633 0.000
Ir2 0.367 0.133 0.000
Ir3 0.633 0.867 0.000
Ir4 0.867 0.367 0.000

Output
ΔH_f (0 K): 0.357 eV/atom


First-principles (PBE) data for a relaxed structure of Na2SCl, as listed in Alexandria via LeMat-Bulk.

Unit cell a=7.621 b=7.621 c=7.621 alpha=29.02 beta=29.02 gamma=29.02
Atoms (fractional coordinates):
Na1 0.245 0.245 0.245
Na2 0.755 0.755 0.755
S1 0.000 0.000 0.000
Cl1 0.500 0.500 0.500

Output
uncorrected formation energy: -413 kJ/mol of formula units
excess energy over the best structure of this formula in the dataset: 0 meV/atom


First-principles (PBE) data for a relaxed structure of TbDy3Tl4Te8, as listed in Alexandria via LeMat-Bulk.

Unit cell a=9.668 b=9.668 c=9.668 alpha=54.87 beta=54.87 gamma=54.87
Atoms (fractional coordinates):
Tb1 0.000 0.000 0.000
Dy1 0.000 0.500 0.500
Dy2 0.500 0.000 0.500
Dy3 0.500 0.500 0.000
Tl1 0.000 0.000 0.500
Tl2 0.000 0.500 0.000
Tl3 0.500 0.000 0.000
Tl4 0.500 0.500 0.500
Te1 0.238 0.238 0.737
Te2 0.238 0.737 0.238
Te3 0.262 0.262 0.262
Te4 0.263 0.762 0.762
Te5 0.737 0.238 0.238
Te6 0.738 0.738 0.738
Te7 0.762 0.263 0.762
Te8 0.762 0.762 0.263

Output
uncorrected formation energy: -1629 kJ/mol of formula units


In the order shown, the computed final energy values come out to -4.576; -2.485; -5.084; -8.407; -3.224; -4.370 eV/atom.